[1]
Here is ReAgSe2 after structural relaxation from the Alexandria database. Energies are from PBE.

## Properties
**Formation energy without anion corrections**: 653 meV per atom
**Symmetry**: C2/m (12)

Unit cell a=7.9389 b=5.9892 c=2.6782 alpha=63.61 beta=109.47 gamma=137.50
Last column: nearest neighbours and their distance in Å.
Element x y z (fractional)
1 Se 0.5000 0.0000 0.5000  2 Se 2.68, 2 Ag 2.68, 2 Re 2.68
2 Re 0.5000 0.5000 0.0000  2 Re 2.68, 4 Se 2.68
3 Se 0.0000 0.0000 0.0000  2 Se 2.68, 2 Re 2.68, 2 Ag 2.68
4 Ag 0.0000 0.5000 0.5000  2 Ag 2.68, 4 Se 2.68

[2]
Here is ReAgSe2 after structural relaxation from the Alexandria database. Energies are from PBE.

## Properties
**Formation energy without anion corrections**: 133 meV per atom
**Symmetry**: R-3m (166)

Unit cell a=9.0283 b=9.0283 c=9.0283 alpha=20.31 beta=20.31 gamma=20.31
Last column: nearest neighbours and their distance in Å.
Element x y z (fractional)
1 Se 0.4836 0.4836 0.4836  3 Re 2.56
2 Ag 0.2500 0.2500 0.2500  6 Ag 3.18, 6 Se 3.22
3 Re 0.7500 0.7500 0.7500  6 Se 2.56
4 Se 0.0164 0.0164 0.0164  3 Re 2.56

[3]
Here is ReAgSe2 after structural relaxation from the Alexandria database. Energies are from PBE.

## Properties
**Formation energy without anion corrections**: 1112 meV per atom
**Symmetry**: F-43m (216)

Unit cell a=4.7087 b=4.7087 c=4.7087 alpha=60.00 beta=60.00 gamma=60.00
Last column: nearest neighbours and their distance in Å.
Element x y z (fractional)
1 Se 0.7500 0.7500 0.7500  4 Ag 2.88, 4 Se 2.88
2 Ag 0.5000 0.5000 0.5000  4 Se 2.88, 4 Re 2.88
3 Se 0.0000 0.0000 0.0000  4 Se 2.88, 4 Re 2.88
4 Re 0.2500 0.2500 0.2500  4 Se 2.88, 4 Ag 2.88

[4]
Here is ReSiAgSe2 after structural relaxation from the Alexandria database. Energies are from PBE.

## Properties
**Formation energy without anion corrections**: 681 meV per atom
**Symmetry**: P4/mmm (123)

Unit cell a=4.9350 b=4.7347 c=4.9350 alpha=90.00 beta=90.00 gamma=90.00
Last column: nearest neighbours and their distance in Å.
Element x y z (fractional)
1 Ag 0.5000 0.5000 0.5000  8 Se 3.42, 4 Si 3.49
2 Se 0.5000 0.0000 0.0000  2 Re 2.47
3 Se 0.0000 0.0000 0.5000  2 Re 2.47
4 Re 0.0000 0.0000 0.0000  2 Si 2.37, 4 Se 2.47
5 Si 0.0000 0.5000 0.0000  2 Re 2.37

[5]
Here is TiReAg2Se after structural relaxation from the Alexandria database. Energies are from PBE.

## Properties
**Formation energy without anion corrections**: 1171 meV per atom
**Symmetry**: P4/mmm (123)

Unit cell a=5.1128 b=4.5580 c=5.1128 alpha=90.00 beta=90.00 gamma=90.00
Last column: nearest neighbours and their distance in Å.
Element x y z (fractional)
1 Ag 0.5000 0.0000 0.0000  2 Re 2.56
2 Re 0.0000 0.0000 0.0000  2 Ti 2.28
3 Ag 0.0000 0.0000 0.5000  2 Re 2.56
4 Ti 0.0000 0.5000 0.0000  2 Re 2.28
5 Se 0.5000 0.5000 0.5000  8 Ag 3.42, 4 Ti 3.62

[6]
Here is Tl3ReAg2Se6 after structural relaxation from the Alexandria database. Energies are from PBE.

## Properties
**Formation energy without anion corrections**: -142 meV per atom
**Symmetry**: C2/m (12)

Unit cell a=7.0324 b=7.0324 c=7.3075 alpha=99.27 beta=99.27 gamma=119.65
Last column: nearest neighbours and their distance in Å.
Element x y z (fractional)
1 Se 0.3651 0.0636 0.2005  1 Re 2.53, 1 Ag 2.81
2 Se 0.2374 0.2374 0.8013  1 Re 2.55, 2 Ag 2.82
3 Se 0.7626 0.7626 0.1987  1 Re 2.55, 2 Ag 2.82
4 Tl 0.1625 0.8375 0.5000  6 Se 3.03-3.35
5 Ag 0.6672 0.3328 0.0000  6 Se 2.81-2.86
6 Se 0.6349 0.9364 0.7995  1 Re 2.53, 1 Ag 2.81
7 Se 0.0636 0.3651 0.2005  1 Re 2.53, 1 Ag 2.81
8 Ag 0.3328 0.6672 0.0000  6 Se 2.81-2.86
9 Se 0.9364 0.6349 0.7995  1 Re 2.53, 1 Ag 2.81
10 Re 0.0000 0.0000 0.0000  6 Se 2.53-2.55
11 Tl 0.8375 0.1625 0.5000  6 Se 3.03-3.35
12 Tl 0.5000 0.5000 0.5000  6 Se 3.06-3.30

[7]
Here is ReSiAg2 after structural relaxation from the Alexandria database. Energies are from PBE.

## Properties
**Formation energy without anion corrections**: 502 meV per atom
**Symmetry**: R-3m (166)

Unit cell a=9.4813 b=9.4813 c=9.4813 alpha=17.09 beta=17.09 gamma=17.09
Last column: nearest neighbours and their distance in Å.
Element x y z (fractional)
1 Re 0.7500 0.7500 0.7500  6 Re 2.82, 6 Ag 2.90
2 Ag 0.9979 0.9979 0.9979  3 Si 2.80, 6 Ag 2.82, 3 Re 2.90
3 Ag 0.5021 0.5021 0.5021  3 Si 2.80, 6 Ag 2.82, 3 Re 2.90
4 Si 0.2500 0.2500 0.2500  6 Ag 2.80, 6 Si 2.82

[8]
Here is ReSi3Ag after structural relaxation from the Alexandria database. Energies are from PBE.

## Properties
**Formation energy without anion corrections**: 535 meV per atom
**Symmetry**: Pm-3m (221)

Unit cell a=4.7109 b=4.7109 c=4.7109 alpha=90.00 beta=90.00 gamma=90.00
Last column: nearest neighbours and their distance in Å.
Element x y z (fractional)
1 Si 0.0000 0.5000 0.0000  2 Re 2.36
2 Re 0.0000 0.0000 0.0000  6 Si 2.36
3 Si 0.5000 0.0000 0.0000  2 Re 2.36
4 Ag 0.5000 0.5000 0.5000  12 Si 3.33
5 Si 0.0000 0.0000 0.5000  2 Re 2.36